The following is a DFT calculation (PBE) of an optimized crystal structure of Tb4NdHoEr2.

Crystal system = orthorhombic
Calculated volume = 31.8 A^3/atom
Uncorrected energy = -4.61 eV per atom
ΔH_f (0 K) = 0.02 eV per atom

CIF file:
```
data_Tb4NdHoEr2
_cell_length_a 10.0321
_cell_length_b 10.0724
_cell_length_c 12.2974
_cell_angle_alpha 114.14
_cell_angle_beta 144.64
_cell_angle_gamma 90.01
_space_group_name_H-M_alt 'P 1'
_space_group_IT_number 1
_space_group_name_Hall 'P 1'
loop_
_atom_site_label
_atom_site_type_symbol
_atom_site_fract_x
_atom_site_fract_y
_atom_site_fract_z
Tb1 Tb 0.7519 0.7517 0.0022
Tb2 Tb 0.7522 0.7518 0.5017
Tb3 Tb 0.2512 0.7518 0.5016
Tb4 Tb 0.2476 0.2483 0.4982
Tb5 Tb 0.7478 0.2481 0.9978
Tb6 Tb 0.7490 0.2481 0.4985
Tb7 Tb 0.2479 0.2485 0.9979
Tb8 Tb 0.2524 0.7517 0.0020
Nd1 Nd 0.9999 0.5001 0.0000
Nd2 Nd 0.9997 0.4999 0.4999
Er1 Er 0.0001 0.0000 0.5001
Er2 Er 0.4997 0.0001 0.9999
Er3 Er 0.5001 0.4999 0.0001
Er4 Er 0.5000 0.0000 0.5000
Ho1 Ho 0.0002 0.9999 0.0001
Ho2 Ho 0.5002 0.5001 0.5001
```